Record 1
Computed, not measured: a relaxed NdLuMgTe3 crystal at the GGA-PBE level of DFT.

As for the total energy: -52.736 eV for the cell shown.

Cell: 7.7566 7.7566 10.8842 Å, 90.00 90.00 148.04°
Fractional coordinates of all 12 atoms:
1 Lu 0.0000 0.0000 0.0000
2 Lu 0.0000 0.0000 0.5000
3 Mg 0.4827 0.5173 0.2500
4 Mg 0.5173 0.4827 0.7500
5 Nd 0.7843 0.2157 0.2500
6 Nd 0.2157 0.7843 0.7500
7 Te 0.3572 0.6428 0.0512
8 Te 0.1114 0.8886 0.2500
9 Te 0.3572 0.6428 0.4488
10 Te 0.6428 0.3572 0.5512
11 Te 0.8886 0.1114 0.7500
12 Te 0.6428 0.3572 0.9488

***

Record 2
Computed, not measured: a relaxed Lu2MgNi crystal at the GGA-PBE level of DFT.

As for the total energy: -15.876 eV for the cell shown.

Cell: 4.8641 4.8641 4.8641 Å, 60.00 60.00 60.00°
Fractional coordinates of all 4 atoms:
1 Lu 0.0000 0.0000 0.0000
2 Lu 0.2500 0.2500 0.2500
3 Mg 0.5000 0.5000 0.5000
4 Ni 0.7500 0.7500 0.7500

***

Record 3
Computed, not measured: a relaxed LuMgNiPb crystal at the GGA-PBE level of DFT.

As for the total energy: -15.310 eV for the cell shown.

Cell: 4.8768 4.8768 4.8768 Å, 60.00 60.00 60.00°
Fractional coordinates of all 4 atoms:
1 Lu 0.2500 0.2500 0.2500
2 Mg 0.5000 0.5000 0.5000
3 Ni 0.7500 0.7500 0.7500
4 Pb 0.0000 0.0000 0.0000

***

Record 4
Computed, not measured: a relaxed LuMgNiPb crystal at the GGA-PBE level of DFT.

As for the total energy: -15.656 eV for the cell shown.

Cell: 4.8517 4.8517 4.8517 Å, 60.00 60.00 60.00°
Fractional coordinates of all 4 atoms:
1 Lu 0.5000 0.5000 0.5000
2 Mg 0.2500 0.2500 0.2500
3 Ni 0.7500 0.7500 0.7500
4 Pb 0.0000 0.0000 0.0000

***

Record 5
Computed, not measured: a relaxed LuMgSiNi crystal at the GGA-PBE level of DFT.

As for the total energy: -17.635 eV for the cell shown.

Cell: 4.5569 4.5569 4.5569 Å, 60.00 60.00 60.00°
Fractional coordinates of all 4 atoms:
1 Lu 0.2500 0.2500 0.2500
2 Mg 0.5000 0.5000 0.5000
3 Ni 0.7500 0.7500 0.7500
4 Si 0.0000 0.0000 0.0000

***

Record 6
Computed, not measured: a relaxed LuMgSiNi crystal at the GGA-PBE level of DFT.

As for the total energy: -17.819 eV for the cell shown.

Cell: 4.5049 4.5049 4.5049 Å, 60.00 60.00 60.00°
Fractional coordinates of all 4 atoms:
1 Lu 0.5000 0.5000 0.5000
2 Mg 0.2500 0.2500 0.2500
3 Ni 0.7500 0.7500 0.7500
4 Si 0.0000 0.0000 0.0000

***

Record 7
Computed, not measured: a relaxed LuMgTlNi crystal at the GGA-PBE level of DFT.

As for the total energy: -14.069 eV for the cell shown.

Cell: 4.8001 4.8001 4.8001 Å, 60.00 60.00 60.00°
Fractional coordinates of all 4 atoms:
1 Lu 0.0000 0.0000 0.0000
2 Mg 0.7500 0.7500 0.7500
3 Ni 0.5000 0.5000 0.5000
4 Tl 0.2500 0.2500 0.2500

***

Record 8
Computed, not measured: a relaxed LuMgTlNi crystal at the GGA-PBE level of DFT.

As for the total energy: -14.398 eV for the cell shown.

Cell: 4.7754 4.7754 4.7754 Å, 60.00 60.00 60.00°
Fractional coordinates of all 4 atoms:
1 Lu 0.5000 0.5000 0.5000
2 Mg 0.2500 0.2500 0.2500
3 Ni 0.7500 0.7500 0.7500
4 Tl 0.0000 0.0000 0.0000

***

Number 1: volume 346.6 Å³/cell. Number 2: volume 81.4 Å³/cell. Number 3: volume 82.0 Å³/cell. Number 4: volume 80.8 Å³/cell. Number 5: volume 66.9 Å³/cell. Number 6: volume 64.6 Å³/cell. Number 7: volume 78.2 Å³/cell. Number 8: volume 77.0 Å³/cell.